# 1
First-principles (PBE) data for a relaxed Ca4NdTl5 crystal, as listed in Alexandria.

Unit cell a=3.9012 b=3.9012 c=19.3517 alpha=90.00 beta=90.00 gamma=90.00
Element x y z (fractional)
Ca  0.0000  0.0000  0.4002
Ca  0.0000  0.0000  0.2024
Ca  0.0000  0.0000  0.7976
Ca  0.0000  0.0000  0.5998
Tl  0.5000  0.5000  0.1016
Tl  0.5000  0.5000  0.6988
Tl  0.5000  0.5000  0.8984
Tl  0.5000  0.5000  0.5000
Tl  0.5000  0.5000  0.3012
Nd  0.0000  0.0000  0.0000

Computed properties:
Formation energy from the elements = -0.431 eV/atom
V = 29.453 A^3/atom

***

# 2
First-principles (PBE) data for a relaxed CaNd4Tl4 crystal, as listed in Alexandria.

Unit cell a=6.2140 b=9.5016 c=9.5016 alpha=90.00 beta=90.00 gamma=90.00
Element x y z (fractional)
Tl  0.6219  0.1026  0.7952
Tl  0.1219  0.7048  0.6026
Tl  0.1219  0.2952  0.3974
Tl  0.6219  0.8974  0.2048
Tl  0.3781  0.2048  0.1026
Tl  0.3781  0.7952  0.8974
Tl  0.8781  0.3974  0.7048
Tl  0.8781  0.6026  0.2952
Nd  0.1310  0.9212  0.3371
Nd  0.3690  0.5788  0.1629
Nd  0.1310  0.0788  0.6629
Nd  0.3690  0.4212  0.8371
Nd  0.8690  0.6629  0.9212
Nd  0.8690  0.3371  0.0788
Nd  0.6310  0.8371  0.5788
Nd  0.6310  0.1629  0.4212
Ca  0.0000  0.0000  0.0000
Ca  0.5000  0.5000  0.5000

Computed properties:
Formation energy from the elements = -0.211 eV/atom
V = 31.167 A^3/atom

***

# 3
First-principles (PBE) data for a relaxed CaNdTl4 crystal, as listed in Alexandria.

Unit cell a=6.3152 b=6.3152 c=6.3152 alpha=60.00 beta=60.00 gamma=60.00
Element x y z (fractional)
Tl  0.1238  0.6254  0.6254
Tl  0.6254  0.1238  0.6254
Tl  0.6254  0.6254  0.1238
Tl  0.6254  0.6254  0.6254
Ca  0.2500  0.2500  0.2500
Nd  0.0000  0.0000  0.0000

Computed properties:
Distance to the lowest polymorph of the same formula = 135.1 meV/atom
Formation energy from the elements = -0.139 eV/atom
V = 29.683 A^3/atom

***

# 4
First-principles (PBE) data for a relaxed CaNd12Tl6 crystal, as listed in Alexandria.

Unit cell a=9.4430 b=9.4430 c=9.4430 alpha=110.90 beta=110.90 gamma=110.90
Element x y z (fractional)
Tl  0.3592  0.0750  0.5837
Tl  0.5837  0.3592  0.0750
Tl  0.6408  0.9250  0.4163
Tl  0.9250  0.4163  0.6408
Tl  0.0750  0.5837  0.3592
Tl  0.4163  0.6408  0.9250
Nd  0.6592  0.5191  0.8043
Nd  0.8219  0.2769  0.9123
Nd  0.2769  0.9123  0.8219
Nd  0.5191  0.8043  0.6592
Nd  0.9123  0.8219  0.2769
Nd  0.1957  0.3408  0.4809
Nd  0.4809  0.1957  0.3408
Nd  0.7231  0.0877  0.1781
Nd  0.0877  0.1781  0.7231
Nd  0.8043  0.6592  0.5191
Nd  0.1781  0.7231  0.0877
Nd  0.3408  0.4809  0.1957
Ca  0.0000  0.0000  0.0000

Computed properties:
Formation energy from the elements = -0.132 eV/atom
V = 32.182 A^3/atom

***

# 5
First-principles (PBE) data for a relaxed Ca2Nd3Tl2 crystal, as listed in Alexandria.

Unit cell a=4.9343 b=6.1823 c=8.8085 alpha=105.74 beta=90.00 gamma=113.52
Element x y z (fractional)
Nd  0.3684  0.7369  0.5581
Nd  0.5000  0.0000  0.0000
Nd  0.6316  0.2631  0.4419
Tl  0.8277  0.6553  0.8042
Tl  0.1723  0.3447  0.1958
Ca  0.8677  0.7354  0.2185
Ca  0.1323  0.2646  0.7815

Computed properties:
Formation energy from the elements = -0.173 eV/atom
V = 33.621 A^3/atom

***

# 6
First-principles (PBE) data for a relaxed CaNd2Tl6 crystal, as listed in Alexandria.

Unit cell a=3.6190 b=9.1719 c=9.8470 alpha=117.76 beta=68.57 gamma=90.00
Element x y z (fractional)
Tl  0.7573  0.6649  0.6637
Tl  0.2427  0.3351  0.3363
Tl  0.7573  0.9988  0.6637
Tl  0.5000  0.3313  0.0000
Tl  0.2427  0.0012  0.3363
Tl  0.5000  0.6687  0.0000
Ca  0.0000  0.0000  0.0000
Nd  0.3278  0.3360  0.6721
Nd  0.6722  0.6640  0.3279

Computed properties:
Formation energy from the elements = -0.233 eV/atom
V = 29.271 A^3/atom

***

# 7
First-principles (PBE) data for a relaxed CaNd2Tl crystal, as listed in Alexandria.

Unit cell a=4.6951 b=6.4248 c=9.8918 alpha=90.00 beta=90.00 gamma=111.43
Element x y z (fractional)
Tl  0.2402  0.4807  0.2500
Tl  0.7598  0.5193  0.7500
Ca  0.0586  0.1171  0.7500
Ca  0.9414  0.8829  0.2500
Nd  0.3561  0.7121  0.5460
Nd  0.3561  0.7121  0.9540
Nd  0.6439  0.2879  0.4540
Nd  0.6439  0.2879  0.0460

Computed properties:
Distance to the lowest polymorph of the same formula = 65.4 meV/atom
Formation energy from the elements = -0.115 eV/atom
V = 34.720 A^3/atom

***

# 8
First-principles (PBE) data for a relaxed CaNd4Tl5 crystal, as listed in Alexandria.

Unit cell a=3.8637 b=3.8637 c=19.8696 alpha=90.00 beta=90.00 gamma=90.00
Element x y z (fractional)
Tl  0.5000  0.5000  0.0980
Tl  0.5000  0.5000  0.3001
Tl  0.5000  0.5000  0.9020
Tl  0.5000  0.5000  0.5000
Tl  0.5000  0.5000  0.6999
Nd  0.0000  0.0000  0.1972
Nd  0.0000  0.0000  0.3999
Nd  0.0000  0.0000  0.8028
Nd  0.0000  0.0000  0.6001
Ca  0.0000  0.0000  0.0000

Computed properties:
Formation energy from the elements = -0.397 eV/atom
V = 29.662 A^3/atom

***

# 9
First-principles (PBE) data for a relaxed CaNd2Tl crystal, as listed in Alexandria.

Unit cell a=6.2807 b=8.4601 c=7.1021 alpha=90.00 beta=90.00 gamma=137.92
Element x y z (fractional)
Tl  0.0782  0.2503  0.2500
Tl  0.9218  0.7497  0.7500
Nd  0.5721  0.2497  0.5046
Nd  0.5721  0.2497  0.9954
Nd  0.4279  0.7503  0.4954
Nd  0.4279  0.7503  0.0046
Ca  0.8996  0.7497  0.2500
Ca  0.1004  0.2503  0.7500

Computed properties:
Distance to the lowest polymorph of the same formula = 35.9 meV/atom
Formation energy from the elements = -0.144 eV/atom
V = 31.611 A^3/atom

***

# 10
First-principles (PBE) data for a relaxed CaNd8Tl6 crystal, as listed in Alexandria.

Unit cell a=9.4362 b=9.4362 c=8.5509 alpha=56.51 beta=56.51 gamma=60.00
Element x y z (fractional)
Tl  0.3912  0.0595  0.8206
Tl  0.0595  0.7286  0.8206
Tl  0.9405  0.2714  0.1794
Tl  0.6088  0.9405  0.1794
Tl  0.7286  0.3912  0.8206
Tl  0.2714  0.6088  0.1794
Nd  0.1085  0.4423  0.6721
Nd  0.7771  0.1085  0.6721
Nd  0.4423  0.7771  0.6721
Nd  0.8915  0.5577  0.3279
Nd  0.3352  0.3352  0.9943
Nd  0.2229  0.8915  0.3279
Nd  0.5577  0.2229  0.3279
Nd  0.6648  0.6648  0.0057
Ca  0.0000  0.0000  0.0000

Computed properties:
Formation energy from the elements = -0.181 eV/atom
V = 33.882 A^3/atom

***

# 11
First-principles (PBE) data for a relaxed CaNd2Tl2 crystal, as listed in Alexandria.

Unit cell a=5.5010 b=10.2506 c=8.6746 alpha=59.94 beta=50.66 gamma=57.70
Element x y z (fractional)
Nd  0.0796  0.9728  0.6982
Nd  0.9203  0.0272  0.3018
Nd  0.4203  0.5271  0.8018
Nd  0.5797  0.4729  0.1982
Tl  0.4903  0.8353  0.9247
Tl  0.0096  0.6647  0.5755
Tl  0.5097  0.1647  0.0753
Tl  0.9904  0.3353  0.4245
Ca  0.7500  0.7499  0.2502
Ca  0.2500  0.2501  0.7498

Computed properties:
Distance to the lowest polymorph of the same formula = 0.0 meV/atom
Formation energy from the elements = -0.338 eV/atom
V = 30.976 A^3/atom

***

# 12
First-principles (PBE) data for a relaxed Ca2NdTl crystal, as listed in Alexandria.

Unit cell a=5.7018 b=5.7018 c=5.6994 alpha=59.99 beta=59.99 gamma=60.00
Each line ends with the local moment (μB).
Element x y z (fractional)
Nd  0.5000  0.5000  0.5000  0.48
Tl  0.0000  0.0000  0.0000  -0.02
Ca  0.7502  0.7502  0.7494  0.08
Ca  0.2498  0.2498  0.2506  0.08

Computed properties:
Distance to the lowest polymorph of the same formula = 190.1 meV/atom
Formation energy from the elements = -0.007 eV/atom
V = 32.748 A^3/atom

***

# 13
First-principles (PBE) data for a relaxed Ca2NdTl crystal, as listed in Alexandria.

Unit cell a=5.5337 b=5.5526 c=10.1909 alpha=90.00 beta=90.00 gamma=119.84
Element x y z (fractional)
Tl  0.3321  0.6632  0.2500
Tl  0.6679  0.3368  0.7500
Nd  0.9992  0.9976  0.2500
Nd  0.0008  0.0024  0.7500
Ca  0.3337  0.6679  0.9295
Ca  0.6663  0.3321  0.0705
Ca  0.6663  0.3321  0.4295
Ca  0.3337  0.6679  0.5705

Computed properties:
Distance to the lowest polymorph of the same formula = 22.2 meV/atom
Formation energy from the elements = -0.175 eV/atom
V = 33.952 A^3/atom

***

# 14
First-principles (PBE) data for a relaxed CaNd6Tl5 crystal, as listed in Alexandria.

Unit cell a=5.5497 b=7.8459 c=9.7077 alpha=113.84 beta=106.61 gamma=90.00
Element x y z (fractional)
Nd  0.8252  0.0821  0.6505
Nd  0.8252  0.5683  0.6505
Nd  0.5000  0.7285  0.0000
Nd  0.5000  0.2715  0.0000
Nd  0.1748  0.9179  0.3495
Nd  0.1748  0.4317  0.3495
Ca  0.0000  0.0000  0.0000
Tl  0.0000  0.5000  0.0000
Tl  0.6483  0.1483  0.2966
Tl  0.6686  0.6686  0.3372
Tl  0.3314  0.3314  0.6628
Tl  0.3517  0.8517  0.7034

Computed properties:
Formation energy from the elements = -0.311 eV/atom
V = 30.607 A^3/atom

***

# 15
First-principles (PBE) data for a relaxed Ca3Nd2Tl4 crystal, as listed in Alexandria.

Unit cell a=7.0813 b=8.3467 c=10.2425 alpha=90.00 beta=110.22 gamma=90.00
Element x y z (fractional)
Nd  0.4092  0.0910  0.8185
Nd  0.9092  0.4090  0.8185
Nd  0.0908  0.5910  0.1815
Nd  0.5908  0.9090  0.1815
Tl  0.3384  0.4635  0.6768
Tl  0.1616  0.9635  0.3232
Tl  0.8384  0.0365  0.6768
Tl  0.3186  0.2500  0.1372
Tl  0.1814  0.7500  0.8628
Tl  0.6814  0.7500  0.8628
Tl  0.8186  0.2500  0.1372
Tl  0.6616  0.5365  0.3232
Ca  0.0132  0.7500  0.5265
Ca  0.9868  0.2500  0.4735
Ca  0.5132  0.7500  0.5265
Ca  0.4868  0.2500  0.4735
Ca  0.0000  0.0000  0.0000
Ca  0.5000  0.5000  0.0000

Computed properties:
Distance to the lowest polymorph of the same formula = 75.8 meV/atom
Formation energy from the elements = -0.268 eV/atom
V = 31.559 A^3/atom

***

# 16
First-principles (PBE) data for a relaxed CaNd9Tl2 crystal, as listed in Alexandria.

Unit cell a=5.0298 b=5.0298 c=15.5349 alpha=90.00 beta=90.00 gamma=90.00
Element x y z (fractional)
Tl  0.0000  0.0000  0.6588
Tl  0.0000  0.0000  0.3412
Nd  0.5000  0.5000  0.3378
Nd  0.0000  0.5000  0.5000
Nd  0.5000  0.0000  0.5000
Nd  0.5000  0.0000  0.8215
Nd  0.5000  0.5000  0.0000
Nd  0.0000  0.5000  0.8215
Nd  0.0000  0.5000  0.1785
Nd  0.5000  0.0000  0.1785
Nd  0.5000  0.5000  0.6622
Ca  0.0000  0.0000  0.0000

Computed properties:
Formation energy from the elements = -0.100 eV/atom
V = 32.752 A^3/atom

***

# 17
First-principles (PBE) data for a relaxed CaNd2Tl4 crystal, as listed in Alexandria.

Unit cell a=5.3553 b=5.3553 c=8.5732 alpha=108.20 beta=108.20 gamma=90.00
Element x y z (fractional)
Tl  0.8855  0.3855  0.7711
Tl  0.3855  0.8855  0.7711
Tl  0.6145  0.1145  0.2289
Tl  0.1145  0.6145  0.2289
Nd  0.2507  0.2507  0.5013
Nd  0.7493  0.7493  0.4987
Ca  0.0000  0.0000  0.0000

Computed properties:
Distance to the lowest polymorph of the same formula = 0.0 meV/atom
Formation energy from the elements = -0.247 eV/atom
V = 31.513 A^3/atom

***

# 18
First-principles (PBE) data for a relaxed Ca3Nd4Tl4 crystal, as listed in Alexandria.

Unit cell a=4.6355 b=9.2405 c=10.2267 alpha=116.86 beta=103.10 gamma=90.00
Each line ends with the local moment (μB).
Element x y z (fractional)
Tl  0.5000  0.8189  0.0000  0.00
Tl  0.7568  0.2568  0.5136  -0.01
Tl  0.2432  0.7432  0.4864  -0.01
Tl  0.5000  0.1811  0.0000  0.00
Ca  0.0000  0.5000  0.0000  0.01
Ca  0.1145  0.1145  0.2291  0.01
Ca  0.8855  0.8855  0.7709  0.01
Nd  0.6684  0.4757  0.3368  0.08
Nd  0.3316  0.1389  0.6632  0.08
Nd  0.6684  0.8611  0.3368  0.08
Nd  0.3316  0.5243  0.6632  0.08

Computed properties:
Formation energy from the elements = -0.188 eV/atom
V = 34.362 A^3/atom

***

# 19
First-principles (PBE) data for a relaxed Ca2NdTl crystal, as listed in Alexandria.

Unit cell a=5.3055 b=4.9413 c=4.9413 alpha=90.00 beta=90.00 gamma=90.00
Element x y z (fractional)
Ca  0.0000  0.0000  0.5000
Ca  0.0000  0.5000  0.0000
Nd  0.5000  0.5000  0.5000
Tl  0.5000  0.0000  0.0000

Computed properties:
Distance to the lowest polymorph of the same formula = 0.0 meV/atom
Formation energy from the elements = -0.197 eV/atom
V = 32.385 A^3/atom

***

# 20
First-principles (PBE) data for a relaxed CaNd5Tl4 crystal, as listed in Alexandria.

Unit cell a=3.7414 b=3.7414 c=22.5970 alpha=90.00 beta=90.00 gamma=90.00
Element x y z (fractional)
Nd  0.5000  0.5000  0.3119
Nd  0.5000  0.5000  0.5000
Nd  0.5000  0.5000  0.6881
Nd  0.5000  0.5000  0.1260
Nd  0.5000  0.5000  0.8740
Tl  0.0000  0.0000  0.5940
Tl  0.0000  0.0000  0.7832
Tl  0.0000  0.0000  0.2168
Tl  0.0000  0.0000  0.4060
Ca  0.0000  0.0000  0.0000

Computed properties:
Distance to the lowest polymorph of the same formula = 0.0 meV/atom
Formation energy from the elements = -0.284 eV/atom
V = 31.632 A^3/atom